# Cu5Rh4

An optimized crystal structure of Cu5Rh4 (PBE-GGA, Alexandria via LeMat-Bulk).

- DOS at the Fermi energy (states/eV per cell) = 23.55
- magnetic moment (μB/f.u.) = 0.00
- E_form (eV/f.u.) = 0.6
- distance to the lowest polymorph of the same formula (kcal/mol of atoms) = 0.00

```
data_Cu5Rh4
_cell_length_a 7.957
_cell_length_b 7.957
_cell_length_c 3.733
_cell_angle_alpha 90.00
_cell_angle_beta 90.00
_cell_angle_gamma 90.00
_space_group_name_H-M_alt 'I 4/m m m'
_space_group_IT_number 139
_space_group_name_Hall '-I 4 2'
loop_
_atom_site_label
_atom_site_fract_x
_atom_site_fract_y
_atom_site_fract_z
Cu1 0.000 0.000 0.000
Cu2 0.000 0.337 0.000
Rh1 0.166 0.166 0.500
```